# 1
A plane-wave DFT calculation with SCAN was carried out for a PBEsol-optimized structure of CdHgAu2.

Geometry as POSCAR:
```
CdHgAu2
1.0
3.0895 0.0000 0.0217
0.0000 3.8644 0.0000
-0.0577 0.0000 6.1861
Au Hg Cd
2 1 1
direct
0.9994 0.0000 0.7570
0.0006 0.0000 0.2430
0.5000 0.5000 0.5000
0.5000 0.5000 0.0000
```

Energy relative to the elements: -56 meV/atom
Electronic total energy: -59.2793 eV per atom

***

# 2
A plane-wave DFT calculation with SCAN was carried out for a PBEsol-optimized structure of VAsO5.

Geometry as POSCAR:
```
VAsO5
1.0
-1.4777 -6.1575 -0.4634
3.3880 -1.2404 5.2457
-6.8907 1.2957 4.7568
V As O
4 4 20
direct
0.4669 0.6572 0.3254
0.9669 0.1572 0.1746
0.5331 0.3428 0.6746
0.0331 0.8428 0.8254
0.4662 0.1572 0.2523
0.9662 0.6572 0.2477
0.5338 0.8428 0.7477
0.0338 0.3428 0.7523
0.4873 0.6384 0.6179
0.9873 0.1384 0.8821
0.5127 0.3616 0.3821
0.0127 0.8616 0.1179
0.4708 0.6394 0.1404
0.9708 0.1394 0.3597
0.5292 0.3606 0.8596
0.0292 0.8606 0.6404
0.2550 0.2091 0.1334
0.7550 0.7091 0.3666
0.7450 0.7909 0.8666
0.2450 0.2909 0.6334
0.1763 0.6100 0.3681
0.6763 0.1100 0.1319
0.8237 0.3900 0.6319
0.3237 0.8900 0.8681
0.4097 0.9404 0.3632
0.9097 0.4404 0.1368
0.5903 0.0596 0.6368
0.0903 0.5596 0.8632
```

Electronic total energy: -11.6875 eV per atom

***

# 3
A plane-wave DFT calculation with SCAN was carried out for a PBEsol-optimized structure of PtSe2Cl.

Geometry as POSCAR:
```
PtSe2Cl
1.0
-4.2925 -1.5281 -0.5812
-0.7327 -4.3138 -1.3971
-1.7515 -3.0909 2.9115
Se Pt Cl
2 1 1
direct
0.2500 0.2500 0.2500
0.7500 0.7500 0.7500
0.0000 0.0000 0.0000
0.5000 0.5000 0.5000
```

Electronic total energy: -29.0421 eV per atom

***

# 4
A plane-wave DFT calculation with SCAN was carried out for a PBEsol-optimized structure of NaMgF3.

Geometry as POSCAR:
```
NaMgF3
1.0
-0.7234 4.5318 -2.7649
-5.3853 -1.0764 -0.3552
-1.1913 3.8011 6.5419
Na Mg F
4 4 12
direct
0.0121 0.9521 0.7500
0.5121 0.5479 0.2500
0.4879 0.4521 0.7500
0.9879 0.0479 0.2500
0.0000 0.5000 0.5000
0.5000 0.0000 0.5000
0.5000 0.0000 0.0000
0.0000 0.5000 0.0000
0.7025 0.2951 0.4517
0.2025 0.2049 0.5483
0.7975 0.7951 0.0483
0.2975 0.7049 0.9517
0.2975 0.7049 0.5483
0.7975 0.7951 0.4517
0.2025 0.2049 0.9517
0.7025 0.2951 0.0483
0.0922 0.4696 0.2500
0.5922 0.0304 0.7500
0.4078 0.9696 0.2500
0.9078 0.5304 0.7500
```

Electronic total energy: -7.4438 eV per atom

***

# 5
A plane-wave DFT calculation with SCAN was carried out for a PBEsol-optimized structure of SrLi3.

Geometry as POSCAR:
```
SrLi3
1.0
-0.3482 4.9422 0.4757
-4.8165 -0.4465 1.1135
1.1382 -0.3834 4.8161
Sr Li
1 3
direct
0.0000 0.0000 0.0000
0.5000 0.5000 0.0000
0.5000 0.0000 0.5000
0.0000 0.5000 0.5000
```

Energy relative to the elements: 99 meV/atom
Electronic total energy: -7.2623 eV per atom

***

# 6
A plane-wave DFT calculation with SCAN was carried out for a PBEsol-optimized structure of YAg3.

Geometry as POSCAR:
```
YAg3
1.0
4.5841 0.0000 0.0000
0.0000 4.5841 0.0000
-2.2921 -2.2921 7.4516
Y Ag
2 6
direct
0.6295 0.6295 0.2590
0.3705 0.3705 0.7410
0.5000 0.0000 0.0000
0.8768 0.8768 0.7535
0.1232 0.1232 0.2465
0.2500 0.7500 0.5000
0.7500 0.2500 0.5000
0.0000 0.5000 0.0000
```

Energy relative to the elements: -180 meV/atom
Electronic total energy: -30.6663 eV per atom

***

# 7
A plane-wave DFT calculation with SCAN was carried out for a PBEsol-optimized structure of CrCo2Ir.

Geometry as POSCAR:
```
CrCo2Ir
1.0
-2.6346 -0.1569 -2.4198
1.8003 -2.5202 -1.7967
-1.1945 -1.1800 4.0262
Cr Ir Co
1 1 2
direct
0.5000 0.5000 0.0000
0.2500 0.7500 0.5000
0.0000 0.0000 0.0000
0.7500 0.2500 0.5000
```

Energy relative to the elements: -78 meV/atom
Electronic total energy: -31.1011 eV per atom

***

# 8
A plane-wave DFT calculation with SCAN was carried out for a PBEsol-optimized structure of ZrFeCl4.

Geometry as POSCAR:
```
ZrFeCl4
1.0
-0.0822 0.7527 -5.4516
4.2103 -1.7491 -3.0834
-0.6550 -4.3073 -3.3632
Cl Fe Zr
4 1 1
direct
0.3750 0.3750 0.3750
0.3750 0.3750 0.8750
0.8750 0.3750 0.3750
0.3750 0.8750 0.3750
0.7500 0.7500 0.7500
0.0000 0.0000 0.0000
```

Electronic total energy: -12.8947 eV per atom

***

# 9
A plane-wave DFT calculation with SCAN was carried out for a PBEsol-optimized structure of HSeS3.

Geometry as POSCAR:
```
HSeS3
1.0
-2.2900 2.3283 -2.4154
-0.6078 -3.1640 -2.4736
-3.2993 -1.0332 2.1322
H S Se
1 3 1
direct
0.0000 0.0000 0.0000
0.0000 0.5000 0.0000
0.0000 0.0000 0.5000
0.5000 0.0000 0.0000
0.5000 0.5000 0.5000
```

Electronic total energy: -9.2503 eV per atom

***

# 10
A plane-wave DFT calculation with SCAN was carried out for a PBEsol-optimized structure of BaOsSe2.

Geometry as POSCAR:
```
BaOsSe2
1.0
-1.6661 -1.7865 -2.0970
1.2650 -0.7058 -2.8752
3.8802 -9.0018 2.1144
Os Ba Se
1 1 2
direct
0.0000 0.0000 0.0000
0.5000 0.5000 0.5000
0.9214 0.9214 0.2357
0.0786 0.0786 0.7643
```

Electronic total energy: -37.3722 eV per atom

***

# 11
A plane-wave DFT calculation with SCAN was carried out for a PBEsol-optimized structure of ScNbCu2Ir.

Geometry as POSCAR:
```
ScNbCu2Ir
1.0
-1.1572 3.5066 2.7758
-1.6149 -3.0014 3.1183
4.2330 -0.1921 2.0073
Sc Nb Ir Cu
1 1 1 2
direct
0.5000 0.5000 0.5000
0.0000 0.0000 0.0000
0.0000 0.0000 0.5000
0.0000 0.5000 0.0000
0.5000 0.0000 0.0000
```

Energy relative to the elements: 848 meV/atom
Electronic total energy: -28.9249 eV per atom

***

# 12
A plane-wave DFT calculation with SCAN was carried out for a PBEsol-optimized structure of CoP2RuS.

Geometry as POSCAR:
```
CoP2RuS
1.0
-1.3710 0.5191 -3.8707
-1.4944 -3.8598 0.0117
-3.7890 1.4716 1.5394
Ru S Co P
1 1 1 2
direct
0.5000 0.5000 0.5000
0.0000 0.0000 0.5000
0.0000 0.0000 0.0000
0.0000 0.5000 0.0000
0.5000 0.0000 0.0000
```

Electronic total energy: -15.6241 eV per atom

***

# 13
A plane-wave DFT calculation with SCAN was carried out for a PBEsol-optimized structure of Te2AsBr.

Geometry as POSCAR:
```
Te2AsBr
1.0
3.9754 0.0000 0.0000
0.0000 5.4985 -0.0564
0.0000 -1.7551 5.3847
As Te Br
1 2 1
direct
0.5000 0.0000 0.5000
0.0000 0.1828 0.8823
0.0000 0.8172 0.1177
0.5000 0.5000 0.5000
```

Electronic total energy: -28.5978 eV per atom

***

# 14
A plane-wave DFT calculation with SCAN was carried out for a PBEsol-optimized structure of Li3MnO2F2.

Geometry as POSCAR:
```
Li3MnO2F2
1.0
-0.0393 -0.9903 2.6088
1.0437 -4.7742 -1.7965
4.2402 2.8034 1.1280
F Mn O Li
2 1 2 3
direct
0.0000 0.2372 0.7628
0.0000 0.7628 0.2372
0.0000 0.5000 0.5000
0.5000 0.7273 0.7273
0.5000 0.2727 0.2727
0.0000 0.0000 0.0000
0.5000 0.0000 0.5000
0.5000 0.5000 0.0000
```

Electronic total energy: -8.2978 eV per atom

***

# 15
A plane-wave DFT calculation with SCAN was carried out for a PBEsol-optimized structure of TlSb4Pb.

Geometry as POSCAR:
```
TlSb4Pb
1.0
6.2835 0.0000 0.0000
3.1417 5.4417 0.0000
3.1417 1.8139 5.1304
Pb Sb Tl
1 4 1
direct
0.0000 0.0000 0.0000
0.3746 0.3746 0.3746
0.3746 0.3746 0.8761
0.8761 0.3746 0.3746
0.3746 0.8761 0.3746
0.7500 0.7500 0.7500
```

Electronic total energy: -49.3519 eV per atom

***

# 16
A plane-wave DFT calculation with SCAN was carried out for a PBEsol-optimized structure of LiHg2Cl.

Geometry as POSCAR:
```
LiHg2Cl
1.0
-0.0928 -3.3806 0.1280
0.9367 0.0974 3.2506
-8.5409 0.3274 2.4515
Cl Hg Li
1 2 1
direct
0.5000 0.5000 0.6327
0.0000 0.0000 0.9866
0.5000 0.5000 0.2385
0.0000 0.0000 0.6422
```

Electronic total energy: -37.5803 eV per atom

***

# 17
A plane-wave DFT calculation with SCAN was carried out for a PBEsol-optimized structure of ScAu2Cl.

Geometry as POSCAR:
```
ScAu2Cl
1.0
4.6869 0.0000 0.0000
2.3435 4.0590 0.0000
2.3435 1.3530 3.8269
Sc Au Cl
1 2 1
direct
0.2500 0.2500 0.2500
0.0000 0.0000 0.0000
0.7500 0.7500 0.7500
0.5000 0.5000 0.5000
```

Electronic total energy: -40.7907 eV per atom

***

# 18
A plane-wave DFT calculation with SCAN was carried out for a PBEsol-optimized structure of Na2Sn2O3.

Geometry as POSCAR:
```
Na2Sn2O3
1.0
-5.3656 3.6351 1.5619
-0.1527 -1.5116 -6.4911
0.0006 -5.6172 3.5903
Na Sn O
4 4 6
direct
0.5000 0.9449 0.5000
0.9449 0.0000 0.0000
0.5551 0.5551 0.0551
0.0000 0.5000 0.4449
0.0354 0.0354 0.5354
0.5000 0.4646 0.5000
0.4646 0.0000 0.0000
0.0000 0.5000 0.9646
0.4505 0.7005 0.7500
0.0495 0.7995 0.2500
0.2500 0.4505 0.2005
0.7005 0.2500 0.9505
0.7500 0.0495 0.2995
0.7995 0.7500 0.5495
```

Electronic total energy: -15.6347 eV per atom

***

# 19
A plane-wave DFT calculation with SCAN was carried out for a PBEsol-optimized structure of YBi3Cl.

Geometry as POSCAR:
```
YBi3Cl
1.0
-5.1789 1.0602 -0.9923
-1.4507 -3.6193 3.7048
0.0625 3.8349 3.7708
Y Bi Cl
1 3 1
direct
0.5000 0.5000 0.5000
0.0000 0.5000 0.0000
0.0000 0.0000 0.5000
0.5000 0.0000 0.0000
0.0000 0.0000 0.0000
```

Electronic total energy: -54.1027 eV per atom

***

# 20
A plane-wave DFT calculation with SCAN was carried out for a PBEsol-optimized structure of HfScHgGe2.

Geometry as POSCAR:
```
HfScHgGe2
1.0
4.9793 0.0000 0.0000
0.0000 4.9793 0.0000
0.0000 0.0000 5.2913
Sc Ge Hf Hg
1 2 1 1
direct
0.5000 0.5000 0.5000
0.0000 0.5000 0.0000
0.5000 0.0000 0.0000
0.0000 0.0000 0.5000
0.0000 0.0000 0.0000
```

Energy relative to the elements: 907 meV/atom
Electronic total energy: -35.7428 eV per atom

***

# 21
A plane-wave DFT calculation with SCAN was carried out for a PBEsol-optimized structure of InTeAuI2.

Geometry as POSCAR:
```
InTeAuI2
1.0
-5.3919 0.0349 -0.6443
-0.5013 -3.8398 3.9873
-0.4300 4.0185 3.8158
I Te Au In
2 1 1 1
direct
0.0000 0.0000 0.5000
0.0000 0.5000 0.0000
0.5000 0.0000 0.0000
0.0000 0.0000 0.0000
0.5000 0.5000 0.5000
```

Electronic total energy: -42.6268 eV per atom

***

# 22
A plane-wave DFT calculation with SCAN was carried out for a PBEsol-optimized structure of Rb2NbMoH.

Geometry as POSCAR:
```
Rb2NbMoH
1.0
-4.3975 0.5475 1.1334
-0.3193 -4.4692 0.9199
1.4754 0.9757 5.2528
H Mo Nb Rb
1 1 1 2
direct
0.0000 0.0000 0.0000
0.5000 0.5000 0.5000
0.0000 0.0000 0.5000
0.0000 0.5000 0.0000
0.5000 0.0000 0.0000
```

Electronic total energy: -21.0880 eV per atom

***

# 23
A plane-wave DFT calculation with SCAN was carried out for a PBEsol-optimized structure of Sr4TaFe.

Geometry as POSCAR:
```
Sr4TaFe
1.0
-4.9280 3.2390 -2.9633
-0.1376 0.4947 -6.5798
-4.5236 -3.3293 -3.4657
Fe Sr Ta
1 4 1
direct
0.0000 0.0000 0.0000
0.8739 0.3754 0.3754
0.3754 0.3754 0.3754
0.3754 0.3754 0.8739
0.3754 0.8739 0.3754
0.7500 0.7500 0.7500
```

Energy relative to the elements: 1527 meV/atom
Electronic total energy: -27.4415 eV per atom

***

# 24
A plane-wave DFT calculation with SCAN was carried out for a PBEsol-optimized structure of Rb2LiBiI6.

Geometry as POSCAR:
```
Rb2LiBiI6
1.0
8.3746 0.0000 0.0000
4.1873 7.2526 0.0000
4.1873 2.4175 6.8378
I Bi Rb Li
6 1 2 1
direct
0.7441 0.2559 0.2559
0.7441 0.7441 0.2559
0.2559 0.7441 0.7441
0.7441 0.2559 0.7441
0.2559 0.7441 0.2559
0.2559 0.2559 0.7441
0.0000 0.0000 0.0000
0.7500 0.7500 0.7500
0.2500 0.2500 0.2500
0.5000 0.5000 0.5000
```

Electronic total energy: -35.3499 eV per atom

***

# 25
A plane-wave DFT calculation with SCAN was carried out for a PBEsol-optimized structure of GaOsPb3.

Geometry as POSCAR:
```
GaOsPb3
1.0
5.2254 0.0000 0.0000
0.0000 5.2254 0.0000
0.0000 0.0000 5.2254
Pb Os Ga
3 1 1
direct
0.0000 0.5000 0.0000
0.0000 0.0000 0.5000
0.5000 0.0000 0.0000
0.0000 0.0000 0.0000
0.5000 0.5000 0.5000
```

Energy relative to the elements: 559 meV/atom
Electronic total energy: -62.5550 eV per atom

***

# 26
A plane-wave DFT calculation with SCAN was carried out for a PBEsol-optimized structure of Sc2CoGeH.

Geometry as POSCAR:
```
Sc2CoGeH
1.0
3.4905 0.0000 0.0000
0.0000 4.3596 0.0000
0.0000 0.0000 4.3596
Sc H Ge Co
2 1 1 1
direct
0.0000 0.0000 0.5000
0.0000 0.5000 0.0000
0.0000 0.0000 0.0000
0.5000 0.5000 0.5000
0.5000 0.0000 0.0000
```

Electronic total energy: -14.1857 eV per atom